(1)
## Sb2WSe (meta-GGA SCAN)

Data for a crystal of Sb2WSe relaxed with PBEsol.

The value obtained for the energy is -40.043 eV per atom. The density of states at the Fermi level comes out at 13.8 states/eV/cell.

It has space group Fm-3m (No. 225), with a = 6.843 Å, b = 6.843 Å, c = 6.843 Å, α = 90.00°, β = 90.00° and γ = 90.00°. The distinct sites, in fractional coordinates, are Sb at (0.250, 0.250, 0.250), W at (0.000, 0.000, 0.000) and Se at (0.000, 0.000, 0.500).


(2)
## Sb2WSe (meta-GGA SCAN)

Data for a crystal of Sb2WSe relaxed with PBEsol.

The value obtained for the energy is -40.583 eV per atom. The density of states at the Fermi level comes out at 2.1 states/eV/cell.

It has space group P4/mmm (No. 123), with a = 3.395 Å, b = 3.395 Å, c = 6.983 Å, α = 90.00°, β = 90.00° and γ = 90.00°. The distinct sites, in fractional coordinates, are Sb at (0.000, 0.000, 0.225), W at (0.500, 0.500, 0.000) and Se at (0.500, 0.500, 0.500).


(3)
## SbWSe (meta-GGA SCAN)

Data for a crystal of SbWSe relaxed with PBEsol.

The value obtained for the energy is -42.137 eV per atom. The density of states at the Fermi level comes out at 4.8 states/eV/cell. The energy above the most stable polymorph in this dataset is 0.0933 eV per atom.

It has space group I4mm (No. 107), with a = 3.108 Å, b = 3.108 Å, c = 13.075 Å, α = 90.00°, β = 90.00° and γ = 90.00°. The distinct sites, in fractional coordinates, are Sb at (0.000, 0.000, 0.000), W at (0.000, 0.000, 0.648) and Se at (0.000, 0.000, 0.256).


no.,V (A^3/atom),ΔE_f (raw) (eV/atom)
1,20.0,1.03
2,20.1,0.49
3,21.0,0.21